No. 1
A plane-wave DFT calculation with PBE was carried out for a relaxed structure of Tl2TcPbBr.

Total magnetization in μB per formula unit: 1.92
Symmetry: P4/mmm

Unit cell a=5.5274 b=5.5274 c=4.9046 alpha=90.00 beta=90.00 gamma=90.00
Closest atoms and distances in Å follow each position.
Positions (direct):
Tl1 0.0000 0.5000 0.0000  2 Tc 2.76
Tl2 0.5000 0.0000 0.0000  2 Tc 2.76
Tc1 0.0000 0.0000 0.0000  2 Br 2.45
Pb1 0.5000 0.5000 0.5000  8 Tl 3.69, 4 Br 3.91
Br1 0.0000 0.0000 0.5000  2 Tc 2.45

No. 2
A plane-wave DFT calculation with PBE was carried out for a relaxed structure of TePb2Br.

Total magnetization in μB per formula unit: 0.00
Symmetry: C2/c
Offset from the most stable computed form in meV per atom: 6.0

Unit cell a=9.8649 b=9.8649 c=7.2782 alpha=104.19 beta=104.19 gamma=118.79
Closest atoms and distances in Å follow each position.
Positions (direct):
Te1 0.0645 0.9355 0.7500  6 Pb 3.19-3.31
Te2 0.3115 0.6885 0.7500  6 Pb 3.19-3.30
Te3 0.6885 0.3115 0.2500  6 Pb 3.19-3.30
Te4 0.9355 0.0645 0.2500  6 Pb 3.19-3.31
Pb1 0.0555 0.4312 0.2604  3 Te 3.19-3.24, 3 Br 3.32-3.45
Pb2 0.1817 0.3091 0.7403  3 Br 3.21-3.34, 3 Te 3.22-3.31
Pb3 0.3091 0.1817 0.2403  3 Br 3.21-3.34, 3 Te 3.22-3.31
Pb4 0.4312 0.0555 0.7604  3 Te 3.19-3.24, 3 Br 3.32-3.45
Pb5 0.5688 0.9445 0.2396  3 Te 3.19-3.24, 3 Br 3.32-3.45
Pb6 0.6909 0.8183 0.7597  3 Br 3.21-3.34, 3 Te 3.22-3.31
Pb7 0.8183 0.6909 0.2597  3 Br 3.21-3.34, 3 Te 3.22-3.31
Pb8 0.9445 0.5688 0.7396  3 Te 3.19-3.24, 3 Br 3.32-3.45
Br1 0.1826 0.8174 0.2500  6 Pb 3.21-3.42
Br2 0.4445 0.5555 0.2500  6 Pb 3.23-3.45
Br3 0.5555 0.4445 0.7500  6 Pb 3.23-3.45
Br4 0.8174 0.1826 0.7500  6 Pb 3.21-3.42

No. 3
A plane-wave DFT calculation with PBE was carried out for a relaxed structure of TePbBr2.

Total magnetization in μB per formula unit: 0.01
Symmetry: Immm
Offset from the most stable computed form in meV per atom: 196.8

Unit cell a=6.2893 b=6.2893 c=6.2893 alpha=145.66 beta=118.36 gamma=72.49
Closest atoms and distances in Å follow each position.
Positions (direct):
Te1 0.0000 0.0000 0.0000  4 Br 3.24
Pb1 0.5000 0.5000 0.0000  4 Br 3.05
Br1 0.2618 0.7618 0.5000  2 Pb 3.05, 2 Te 3.24
Br2 0.7382 0.2382 0.5000  2 Pb 3.05, 2 Te 3.24

No. 4
A plane-wave DFT calculation with PBE was carried out for a relaxed structure of TePb2Br.

Total magnetization in μB per formula unit: 0.00
Symmetry: C2/m
Offset from the most stable computed form in meV per atom: 0.0

Unit cell a=5.0424 b=5.0424 c=7.2255 alpha=104.15 beta=104.15 gamma=49.84
Closest atoms and distances in Å follow each position.
Positions (direct):
Te1 0.0000 0.0000 0.0000  6 Pb 3.24
Pb1 0.2531 0.2531 0.7606  3 Te 3.24, 3 Br 3.31-3.33
Pb2 0.7469 0.7469 0.2394  3 Te 3.24, 3 Br 3.31-3.33
Br1 0.5000 0.5000 0.5000  6 Pb 3.31-3.33

No. 5
A plane-wave DFT calculation with PBE was carried out for a relaxed structure of TePbBr2.

Total magnetization in μB per formula unit: 0.00
Symmetry: P4/mmm
Offset from the most stable computed form in meV per atom: 100.7

Unit cell a=3.5783 b=3.5783 c=11.9382 alpha=90.00 beta=90.00 gamma=90.00
Closest atoms and distances in Å follow each position.
Positions (direct):
Te1 0.0000 0.0000 0.0000  4 Te 3.58
Pb1 0.0000 0.0000 0.5000  8 Br 3.14
Br1 0.5000 0.5000 0.3443  4 Pb 3.14
Br2 0.5000 0.5000 0.6557  4 Pb 3.14

No. 6
A plane-wave DFT calculation with PBE was carried out for a relaxed structure of Te2PbBr.

Total magnetization in μB per formula unit: 0.00
Symmetry: R3m
Offset from the most stable computed form in meV per atom: 308.5

Unit cell a=9.8830 b=9.8830 c=9.8830 alpha=23.10 beta=23.10 gamma=23.10
Closest atoms and distances in Å follow each position.
Positions (direct):
Te1 0.0000 0.0000 0.0000  3 Te 3.14
Te2 0.2588 0.2588 0.2588  3 Te 3.14, 3 Pb 3.27
Pb1 0.5109 0.5109 0.5109  3 Br 3.11, 3 Te 3.27
Br1 0.7712 0.7712 0.7712  3 Pb 3.11

No. 7
A plane-wave DFT calculation with PBE was carried out for a relaxed structure of TePb2Br.

Total magnetization in μB per formula unit: 0.00
Symmetry: P4mm
Offset from the most stable computed form in meV per atom: 149.1

Unit cell a=4.0574 b=4.0574 c=8.1388 alpha=90.00 beta=90.00 gamma=90.00
Closest atoms and distances in Å follow each position.
Positions (direct):
Te1 0.0000 0.0000 0.0000  5 Pb 3.16-3.47
Pb1 0.0000 0.0000 0.5742  4 Br 3.33, 1 Te 3.47, 4 Pb 3.58
Pb2 0.5000 0.5000 0.8376  4 Te 3.16
Br1 0.5000 0.5000 0.3676  4 Pb 3.33

No. 8
A plane-wave DFT calculation with PBE was carried out for a relaxed structure of TePb2Br2.

Total magnetization in μB per formula unit: 0.00
Symmetry: P4/mbm
Offset from the most stable computed form in meV per atom: 212.7

Unit cell a=8.7194 b=8.7194 c=4.4649 alpha=90.00 beta=90.00 gamma=90.00
Closest atoms and distances in Å follow each position.
Positions (direct):
Te1 0.0000 0.0000 0.0000  4 Pb 3.17
Te2 0.5000 0.5000 0.0000  4 Pb 3.17
Pb1 0.1902 0.3098 0.0000  2 Br 3.04, 2 Te 3.17
Pb2 0.3098 0.8098 0.0000  2 Br 3.04, 2 Te 3.17
Pb3 0.6902 0.1902 0.0000  2 Br 3.04, 2 Te 3.17
Pb4 0.8098 0.6902 0.0000  2 Br 3.04, 2 Te 3.17
Br1 0.1424 0.6424 0.5000  2 Pb 3.04
Br2 0.3576 0.1424 0.5000  2 Pb 3.04
Br3 0.6424 0.8576 0.5000  2 Pb 3.04
Br4 0.8576 0.3576 0.5000  2 Pb 3.04

| no. | DFT total energy (eV/atom) |
| --- | --- |
| 1 | -3.5792 |
| 2 | -3.4588 |
| 3 | -2.7464 |
| 4 | -3.4647 |
| 5 | -2.8426 |
| 6 | -2.9867 |
| 7 | -3.3156 |
| 8 | -3.2663 |